one) VASP calculation (PBE) on a geometry-optimized Y4Tm5Mg structure. Values from VASP.

```
&SYSTEM
  ibrav = 0, nat = 10, ntyp = 3
/
ATOMIC_SPECIES
Y 88.91 Y.upf
Tm 168.93 Tm.upf
Mg 24.30 Mg.upf
CELL_PARAMETERS angstrom
5.663 0.000 0.000
2.832 7.465 0.000
2.832 0.000 7.465
ATOMIC_POSITIONS angstrom
Y 5.428 2.384 5.082
Y 8.259 5.082 5.082
Y 2.596 2.383 2.384
Y 5.428 5.082 2.383
Tm 5.393 2.771 0.000
Tm 2.561 0.000 4.694
Tm 8.224 7.465 2.771
Tm 5.393 4.694 7.465
Tm 3.818 0.000 0.000
Mg 1.096 0.000 0.000
```

Values from the calculation:
**SG**: I4mm, No. 107

***

two) VASP calculation (PBE) on a geometry-optimized Y4Tm5Mg structure. Values from VASP.

```
&SYSTEM
  ibrav = 0, nat = 10, ntyp = 3
/
ATOMIC_SPECIES
Y 88.91 Y.upf
Tm 168.93 Tm.upf
Mg 24.30 Mg.upf
CELL_PARAMETERS angstrom
3.535 0.000 0.000
0.000 3.535 0.000
0.000 0.000 24.290
ATOMIC_POSITIONS angstrom
Y 0.000 0.000 4.636
Y 0.000 0.000 9.643
Y 0.000 0.000 14.646
Y 0.000 0.000 19.653
Tm 1.768 1.768 2.179
Tm 1.768 1.768 7.141
Tm 1.768 1.768 12.145
Tm 1.768 1.768 17.149
Tm 1.768 1.768 22.110
Mg 0.000 0.000 0.000
```

Values from the calculation:
**SG**: P4/mmm, No. 123

***

Most stable to least stable, the ends of the list are two) and one).

***

one) VASP calculation (PBE) on a geometry-optimized Y2TmMg structure. Values from VASP.

```
&SYSTEM
  ibrav = 0, nat = 4, ntyp = 3
/
ATOMIC_SPECIES
Y 88.91 Y.upf
Mg 24.30 Mg.upf
Tm 168.93 Tm.upf
CELL_PARAMETERS angstrom
3.442 0.000 0.000
1.721 2.980 0.000
1.721 0.993 12.202
ATOMIC_POSITIONS angstrom
Y 1.721 0.993 8.922
Y 5.162 2.980 3.279
Mg 0.000 0.000 0.000
Tm 3.442 1.987 6.101
```

Values from the calculation:
**SG**: R-3m, No. 166

***

two) VASP calculation (PBE) on a geometry-optimized Y2TmMg structure. Values from VASP.

```
&SYSTEM
  ibrav = 0, nat = 4, ntyp = 3
/
ATOMIC_SPECIES
Y 88.91 Y.upf
Mg 24.30 Mg.upf
Tm 168.93 Tm.upf
CELL_PARAMETERS angstrom
-4.817 -2.205 1.457
-1.776 -4.585 -2.451
-0.124 -4.733 2.787
ATOMIC_POSITIONS angstrom
Y -1.679 -2.881 0.448
Y -5.038 -8.643 1.345
Mg 0.000 0.000 0.000
Tm -3.359 -5.762 0.896
```

Values from the calculation:
**SG**: Fm-3m, No. 225

***

Most stable to least stable, the ends of the list are two) and one).